(1)
A plane-wave DFT calculation with GGA-PBE was carried out for ZrTeNO after structural relaxation.

Lattice parameters (Å, degrees): 6.871 7.991 5.891 90.00 90.00 90.00
Atoms (fractional coordinates):
Zr  0.400  0.088  0.488
Zr  0.900  0.912  0.488
Te  0.742  0.482  0.535
O  0.522  0.673  0.036
Te  0.758  0.482  0.035
Te  0.258  0.518  0.035
O  0.978  0.673  0.536
N  0.634  0.965  0.643
Te  0.242  0.518  0.535
N  0.366  0.035  0.143
N  0.866  0.965  0.143
Zr  0.100  0.088  0.988
O  0.022  0.327  0.036
Zr  0.600  0.912  0.988
N  0.134  0.035  0.643
O  0.478  0.327  0.536

Polymorph energy (0 for the lowest one), eV/f.u.: 0.54
Symmetry: Pca2_1, No. 29

(2)
A plane-wave DFT calculation with GGA-PBE was carried out for Sr2YCd after structural relaxation.

Lattice parameters (Å, degrees): 5.814 5.814 5.814 60.00 60.00 60.00
Last column: magnetic moment on the atom in μB.
Atoms (fractional coordinates):
Sr  0.500  0.500  0.500  0.02
Y  0.000  0.000  0.000  0.08
Cd  0.750  0.750  0.750  0.00
Sr  0.250  0.250  0.250  0.02

Symmetry: F-43m, No. 216

Across the entries above, E_tot takes the values -118.6, -10.4 eV per cell, respectively.